Pr2AsPd | PBE-GGA | relaxed

The structure in POSCAR format:
```
Pr2AsPd
1.0
3.9915 0.0000 0.0000
-1.9957 3.4567 0.0000
0.0000 0.0000 27.2531
Pr As Pd
6 3 3
Cartesian
0.0000 0.0000 2.7496 Pr
0.0000 0.0000 24.5035 Pr
0.0000 2.3045 15.4191 Pr
0.0000 2.3045 20.9183 Pr
1.9957 1.1522 6.3348 Pr
1.9957 1.1522 11.8339 Pr
0.0000 0.0000 13.6265 As
0.0000 2.3045 4.5422 As
1.9957 1.1522 22.7109 As
0.0000 0.0000 0.0000 Pd
0.0000 2.3045 18.1687 Pd
1.9957 1.1522 9.0844 Pd
```

Computed properties:
E_form ... -0.44 eV per atom
Excess energy over the best structure of this formula in the dataset ... 516 meV per atom
Fermi-level density of states ... 8.1 states/eV/cell
Space group ... R-3m (166)
Energy ... -5.29 eV/atom
Calculated volume ... 31.34 Å³ per atom